# SmCdNO

A relaxed structure of SmCdNO (PBE-GGA, the Open Quantum Materials Database).

a = 7.453 Å, b = 9.292 Å, c = 3.333 Å
α = 90.00°, β = 90.10°, γ = 90.00°
Space group Cm (No. 8)
Inequivalent atoms, fractional coordinates:
Sm  0.000  0.204  0.000
Cd  0.200  0.500  0.504
Cd  0.300  0.000  0.502
N  0.000  0.000  0.502
N  0.000  0.500  0.001
O  0.250  0.250  0.489

Properties
Distance to the lowest polymorph of the same formula: 0.067 eV/atom
Total magnetic moment: 0.001 μB per atom